Entry 1:
## TiCoRh (GGA-PBE)

Data for an optimized crystal structure of TiCoRh.

## Properties
calculated total energy	-7.830	eV/atom
volume	41.1	Å³/f.u.
D(E_F)	1.1682	states/eV/atom
formation energy	-379	meV/atom

Structure (extended XYZ):
```
3
Lattice="-1.515 1.515 4.476 1.515 -1.515 4.476 1.515 1.515 -4.476" Properties=species:S:1:pos:R:3 pbc="T T T"
Ti 0.000 0.000 0.000
Co 0.000 0.000 5.805
Rh 0.000 0.000 2.980
```

=====

Entry 2:
## Ti12Co2Rh5 (GGA-PBE)

Data for an optimized crystal structure of Ti12Co2Rh5.

## Properties
calculated total energy	-7.904	eV/atom
volume	320.9	Å³/f.u.
D(E_F)	1.2075	states/eV/atom
formation energy	-235	meV/atom

Structure (extended XYZ):
```
19
Lattice="6.729 -3.081 0.000 6.729 3.081 0.000 -0.907 0.000 7.741" Properties=species:S:1:pos:R:3 pbc="T T T"
Ti -0.034 0.000 2.327
Ti 4.436 1.626 3.267
Ti 3.641 1.446 6.769
Ti 8.115 1.626 4.474
Ti 8.910 1.446 0.971
Ti 6.020 0.000 1.258
Ti 6.531 0.000 6.482
Ti 3.641 -1.446 6.769
Ti 4.436 -1.626 3.267
Ti 8.910 -1.446 0.971
Ti 8.115 -1.626 4.474
Ti 12.585 0.000 5.414
Co 6.729 1.904 0.000
Co 6.729 -1.904 0.000
Rh 1.435 0.000 6.725
Rh 2.626 0.000 2.817
Rh 6.275 0.000 3.870
Rh 9.925 0.000 4.923
Rh 11.116 0.000 1.016
```